First-principles (PBE+U) data for a relaxed structure of NaPbWO4, as listed in the Alexandria database.

Cell lengths 6.446, 6.040, 7.520 Å; angles 90.00, 109.74, 90.00 degrees
Sites, in units of the cell vectors:
Na 0.192 0.250 0.454
Na 0.808 0.750 0.546
Pb 0.023 0.250 0.913
Pb 0.977 0.750 0.087
W 0.359 0.750 0.663
W 0.641 0.250 0.337
O 0.205 0.510 0.694
O 0.205 0.990 0.694
O 0.351 0.250 0.184
O 0.358 0.750 0.422
O 0.642 0.250 0.578
O 0.649 0.750 0.816
O 0.795 0.010 0.306
O 0.795 0.490 0.306

Properties
uncorrected energy: -6.1737 eV/atom
calculated volume: 19.7 Å³/atom